A plane-wave DFT calculation with PBE was carried out for an optimized crystal structure of Ho2AgS.

Structure (POSCAR):
```
Ho2AgS
1.0
4.040 0.000 0.000
0.000 3.889 -0.691
0.000 0.056 11.610
Ho Ag S
4 2 2
Direct
0.250 0.075 0.150
0.750 0.688 0.376
0.250 0.312 0.624
0.750 0.925 0.850
0.750 0.543 0.087
0.250 0.457 0.913
0.250 0.194 0.388
0.750 0.806 0.612
```

Values from the calculation:
Excess energy over the best structure of this formula in the dataset   0 meV/atom
Formation energy without anion corrections   -1126.8 meV per atom
Magnetization   0.00 μB/f.u.
N(E_F)   0.50 states/eV per atom
DFT total energy   -5.160 eV per atom

***

A plane-wave DFT calculation with PBE was carried out for an optimized crystal structure of Ho2Ag4S5.

Structure (POSCAR):
```
Ho2Ag4S5
1.0
4.048 0.000 0.000
2.024 3.505 0.000
2.024 1.168 17.393
Ag S Ho
4 5 2
Direct
0.415 0.415 0.755
0.310 0.310 0.069
0.690 0.690 0.931
0.585 0.585 0.245
0.368 0.368 0.895
0.775 0.775 0.674
0.500 0.500 0.500
0.225 0.225 0.326
0.632 0.632 0.105
0.864 0.864 0.409
0.136 0.136 0.591
```

Values from the calculation:
Formation energy without anion corrections   -770.3 meV per atom
Magnetization   0.00 μB/f.u.
N(E_F)   0.42 states/eV per atom
DFT total energy   -4.516 eV per atom